## ZnSb2Te (meta-GGA SCAN)

Data for a crystal of ZnSb2Te relaxed with PBEsol.

The structure in POSCAR format:
```
ZnSb2Te
1.0
-1.473 1.500 -3.633
-2.863 -3.068 -0.106
-3.817 3.460 2.976
Sb Te Zn
2 1 1
Direct
0.000 0.000 0.125
0.500 0.500 0.125
0.000 0.000 0.625
0.500 0.500 0.625
```

## ZnSb2Te (meta-GGA SCAN)

Data for a crystal of ZnSb2Te relaxed with PBEsol.

The structure in POSCAR format:
```
ZnSb2Te
1.0
3.632 0.000 0.000
0.000 5.166 0.000
0.000 0.000 5.166
Sb Te Zn
2 1 1
Direct
0.000 0.000 0.500
0.000 0.500 0.000
0.500 0.500 0.500
0.500 0.000 0.000
```

## ZnSb4Te (meta-GGA SCAN)

Data for a crystal of ZnSb4Te relaxed with PBEsol.

The structure in POSCAR format:
```
ZnSb4Te
1.0
6.135 0.000 0.000
3.067 5.313 0.000
3.067 1.771 5.009
Sb Te Zn
4 1 1
Direct
0.376 0.376 0.376
0.376 0.376 0.872
0.872 0.376 0.376
0.376 0.872 0.376
0.750 0.750 0.750
0.000 0.000 0.000
```

## ZnSb2Te (meta-GGA SCAN)

Data for a crystal of ZnSb2Te relaxed with PBEsol.

The structure in POSCAR format:
```
ZnSb2Te
1.0
3.317 0.000 0.000
0.000 3.317 0.000
0.000 0.000 8.834
Sb Te Zn
2 1 1
Direct
0.000 0.000 0.692
0.000 0.000 0.308
0.500 0.500 0.000
0.500 0.500 0.500
```

no.,raw formation energy (eV per atom),VASP energy (eV per formula unit)
1,0.010,-125.25
2,0.318,-124.02
3,0.472,-196.98
4,0.242,-124.32